(1)
The following is a GGA+U calculation of crystalline Li3MoF6 at its relaxed geometry, from Alexandria.

Cell and atoms, written as POSCAR:
```
Li3MoF6
1.0
0.0000 4.0341 4.0341
4.0341 0.0000 4.0341
4.0341 4.0341 0.0000
Mo Li F
1 3 6
direct
0.0000 0.0000 0.0000
0.5000 0.5000 0.5000
0.7500 0.7500 0.7500
0.2500 0.2500 0.2500
0.7436 0.2564 0.2564
0.7436 0.2564 0.7436
0.2564 0.2564 0.7436
0.7436 0.7436 0.2564
0.2564 0.7436 0.2564
0.2564 0.7436 0.7436
```

Computed properties:
Total energy = -4.97 eV/atom
Density = 2.92 g cm⁻³



(2)
The following is a GGA+U calculation of crystalline MgVSF5 at its relaxed geometry, from Alexandria.

Cell and atoms, written as POSCAR:
```
MgVSF5
1.0
5.7137 0.3120 0.5360
-0.7862 6.6506 0.2553
-1.0760 -2.1814 5.9554
F Mg S V
10 2 2 2
direct
0.1545 0.5841 0.8061
0.5098 0.6461 0.4802
0.7849 0.2139 0.0397
0.9087 0.5852 0.2272
0.7002 0.5021 0.8250
0.4459 0.9704 0.7510
0.5088 0.8089 0.1444
0.5789 0.2204 0.4137
0.3015 0.3606 0.0594
0.1229 0.2599 0.3976
0.6073 0.4164 0.2433
0.4700 0.7022 0.8183
0.9388 0.0054 0.6375
0.0867 0.0060 0.3684
0.5245 0.9506 0.4587
0.9868 0.4008 0.9431
```

Computed properties:
Total energy = -5.35 eV/atom
Density = 2.85 g cm⁻³